Entry from Alexandria: a relaxed MnIn crystal (PBE).

Lattice parameters (Å, degrees): 4.842 4.842 4.842 37.76 37.76 37.76
Sites, in units of the cell vectors:
In  0.000  0.000  0.000
Mn  0.500  0.500  0.500

Properties
Energy relative to the elements: 0.65 eV/f.u.



Entry from Alexandria: a relaxed SbPtS crystal (PBE).

Lattice parameters (Å, degrees): 3.834 3.834 4.821 90.00 90.00 120.00
Sites, in units of the cell vectors:
S  0.000  0.000  0.061
Pt  0.667  0.333  0.320
Sb  0.333  0.667  0.619

Properties
ΔE_f (raw): -0.2989 eV per atom



Entry from Alexandria: a relaxed Mg3Os crystal (PBE).

Lattice parameters (Å, degrees): 5.000 5.000 11.434 148.72 148.72 32.58
Sites, in units of the cell vectors:
Os  0.000  0.000  0.000
Mg  0.000  0.000  0.500
Mg  0.028  0.028  0.768
Mg  0.972  0.972  0.232

Properties
Energy relative to the elements: 0.71 eV/f.u.